# 1
{
  "formula": "GdSiPd2",
  "functional": "PBE",
  "state": "relaxed",
  "magnetic_moment_mub_per_fu": 0.0,
  "final_energy_ev_per_atom": -6.080,
  "sg": "Pnma (62)",
  "lattice_angstrom": [[-1.441, -5.599, -4.597], [-3.948, -3.001, 4.892], [-4.445, 2.719, -1.919]],
  "species": ["Gd", "Gd", "Gd", "Gd", "Si", "Si", "Si", "Si", "Pd", "Pd", "Pd", "Pd", "Pd", "Pd", "Pd", "Pd"],
  "frac_coords": [[0.470, 0.250, 0.859], [0.030, 0.750, 0.359], [0.530, 0.750, 0.141], [0.970, 0.250, 0.641], [0.878, 0.750, 0.857], [0.378, 0.750, 0.643], [0.122, 0.250, 0.143], [0.622, 0.250, 0.357], [0.823, 0.052, 0.093], [0.677, 0.948, 0.593], [0.323, 0.052, 0.407], [0.677, 0.552, 0.593], [0.177, 0.948, 0.907], [0.323, 0.448, 0.407], [0.177, 0.552, 0.907], [0.823, 0.448, 0.093]]
}


# 2
{
  "formula": "AgGeSO",
  "functional": "PBE",
  "state": "relaxed",
  "sg": "Pbca (61)",
  "relative_energy_mev_per_atom": 161.2,
  "lattice_angstrom": [[7.660, 0.000, 0.000], [0.000, 11.643, 0.000], [0.000, 0.000, 6.299]],
  "species": ["O", "O", "O", "O", "O", "O", "O", "O", "S", "S", "S", "S", "S", "S", "S", "S", "Ge", "Ge", "Ge", "Ge", "Ge", "Ge", "Ge", "Ge", "Ag", "Ag", "Ag", "Ag", "Ag", "Ag", "Ag", "Ag"],
  "frac_coords": [[0.831, 0.756, 0.025], [0.669, 0.244, 0.525], [0.169, 0.256, 0.475], [0.169, 0.244, 0.975], [0.331, 0.756, 0.475], [0.831, 0.744, 0.525], [0.669, 0.256, 0.025], [0.331, 0.744, 0.975], [0.010, 0.957, 0.752], [0.990, 0.457, 0.748], [0.510, 0.957, 0.748], [0.990, 0.043, 0.248], [0.510, 0.543, 0.248], [0.490, 0.457, 0.752], [0.010, 0.543, 0.252], [0.490, 0.043, 0.252], [0.024, 0.249, 0.725], [0.976, 0.751, 0.275], [0.976, 0.749, 0.775], [0.524, 0.251, 0.275], [0.024, 0.251, 0.225], [0.476, 0.749, 0.725], [0.476, 0.751, 0.225], [0.524, 0.249, 0.775], [0.258, 0.034, 0.970], [0.742, 0.966, 0.030], [0.242, 0.966, 0.470], [0.258, 0.466, 0.470], [0.242, 0.534, 0.970], [0.742, 0.534, 0.530], [0.758, 0.034, 0.530], [0.758, 0.466, 0.030]]
}


# 3
{
  "formula": "BaErAg",
  "functional": "PBE",
  "state": "relaxed",
  "magnetic_moment_mub_per_fu": 0.1,
  "sg": "F-43m (216)",
  "relative_energy_mev_per_atom": 0.0,
  "lattice_angstrom": [[0.000, 3.795, 3.795], [3.795, 0.000, 3.795], [3.795, 3.795, 0.000]],
  "species": ["Er", "Ba", "Ag"],
  "frac_coords": [[0.750, 0.750, 0.750], [0.250, 0.250, 0.250], [0.000, 0.000, 0.000]]
}


# 4
{
  "formula": "Gd3HoEr2Te2Pd",
  "functional": "PBE",
  "state": "relaxed",
  "magnetic_moment_mub_per_fu": 0.1,
  "final_energy_ev_per_atom": -5.179,
  "sg": "Amm2 (38)",
  "lattice_angstrom": [[3.967, 0.000, 0.000], [0.000, 7.295, 4.206], [0.000, -7.295, 4.206]],
  "species": ["Ho", "Te", "Te", "Gd", "Gd", "Gd", "Er", "Er", "Pd"],
  "frac_coords": [[0.000, 0.246, 0.246], [0.000, 0.333, 0.667], [0.000, 0.667, 0.333], [0.500, 0.597, 0.597], [0.500, 0.403, 0.000], [0.500, 0.000, 0.403], [0.000, 0.000, 0.755], [0.000, 0.755, 0.000], [0.500, 0.999, 0.999]]
}


# 5
{
  "formula": "CsCuReIr",
  "functional": "PBE",
  "state": "relaxed",
  "magnetic_moment_mub_per_fu": 3.5,
  "sg": "F-43m (216)",
  "relative_energy_mev_per_atom": 149.4,
  "lattice_angstrom": [[-3.705, -3.035, 0.470], [-3.441, -0.136, -3.362], [-0.370, -3.814, -2.911]],
  "species": ["Re", "Cs", "Cu", "Ir"],
  "frac_coords": [[0.500, 0.500, 0.500], [0.000, 0.000, 0.000], [0.750, 0.750, 0.750], [0.250, 0.250, 0.250]]
}


# 6
{
  "formula": "NaSr2H6Pt",
  "functional": "PBE",
  "state": "relaxed",
  "magnetic_moment_mub_per_fu": 0.0,
  "final_energy_ev_per_atom": -3.461,
  "sg": "P2_1/c (14)",
  "lattice_angstrom": [[-5.037, 5.246, 6.015], [-3.641, -7.239, 3.264], [5.907, -1.429, 3.420]],
  "species": ["H", "H", "H", "H", "H", "H", "H", "H", "H", "H", "H", "H", "H", "H", "H", "H", "H", "H", "H", "H", "H", "H", "H", "H", "Pt", "Pt", "Pt", "Pt", "Sr", "Sr", "Sr", "Sr", "Sr", "Sr", "Sr", "Sr", "Na", "Na", "Na", "Na"],
  "frac_coords": [[0.813, 0.504, 0.909], [0.187, 0.004, 0.591], [0.707, 0.688, 0.222], [0.453, 0.613, 0.176], [0.922, 0.886, 0.075], [0.707, 0.812, 0.722], [0.877, 0.276, 0.450], [0.922, 0.614, 0.575], [0.713, 0.268, 0.154], [0.547, 0.113, 0.324], [0.078, 0.114, 0.925], [0.123, 0.724, 0.550], [0.547, 0.387, 0.824], [0.287, 0.768, 0.346], [0.877, 0.224, 0.950], [0.287, 0.732, 0.846], [0.078, 0.386, 0.425], [0.293, 0.312, 0.778], [0.813, 0.996, 0.409], [0.123, 0.776, 0.050], [0.713, 0.232, 0.654], [0.293, 0.188, 0.278], [0.453, 0.887, 0.676], [0.187, 0.496, 0.091], [0.721, 0.178, 0.400], [0.279, 0.822, 0.600], [0.279, 0.678, 0.100], [0.721, 0.322, 0.900], [0.964, 0.872, 0.738], [0.964, 0.628, 0.238], [0.566, 0.661, 0.888], [0.036, 0.372, 0.762], [0.036, 0.128, 0.262], [0.434, 0.161, 0.612], [0.566, 0.839, 0.388], [0.434, 0.339, 0.112], [0.716, 0.005, 0.008], [0.284, 0.995, 0.992], [0.716, 0.495, 0.508], [0.284, 0.505, 0.492]]
}


# 7
{
  "formula": "BiSb2Au",
  "functional": "PBE",
  "state": "relaxed",
  "final_energy_ev_per_atom": -3.685,
  "sg": "F-43m (216)",
  "lattice_angstrom": [[-4.614, 2.072, 1.471], [-2.959, 2.591, -3.503], [-4.505, -2.117, -1.720]],
  "species": ["Sb", "Sb", "Au", "Bi"],
  "frac_coords": [[0.750, 0.750, 0.750], [0.000, 0.000, 0.000], [0.250, 0.250, 0.250], [0.500, 0.500, 0.500]]
}


# 8
{
  "formula": "LiLuZnS3",
  "functional": "PBE",
  "state": "relaxed",
  "magnetic_moment_mub_per_fu": 0.0,
  "sg": "Pnma (62)",
  "relative_energy_mev_per_atom": 0.0,
  "lattice_angstrom": [[-9.792, 4.785, 0.236], [-0.770, -1.407, -3.435], [-4.475, -9.397, 4.851]],
  "species": ["Li", "Li", "Li", "Li", "S", "S", "S", "S", "S", "S", "S", "S", "S", "S", "S", "S", "Zn", "Zn", "Zn", "Zn", "Lu", "Lu", "Lu", "Lu"],
  "frac_coords": [[0.018, 0.000, 0.118], [0.982, 0.500, 0.882], [0.482, 0.000, 0.618], [0.518, 0.500, 0.382], [0.342, 0.500, 0.722], [0.144, 0.000, 0.931], [0.356, 0.000, 0.431], [0.856, 0.500, 0.069], [0.424, 0.000, 0.087], [0.658, 0.000, 0.278], [0.076, 0.000, 0.587], [0.924, 0.500, 0.413], [0.576, 0.500, 0.913], [0.842, 0.000, 0.778], [0.644, 0.500, 0.569], [0.158, 0.500, 0.222], [0.788, 0.500, 0.262], [0.288, 0.000, 0.238], [0.712, 0.500, 0.762], [0.212, 0.000, 0.738], [0.674, 0.000, 0.043], [0.326, 0.500, 0.957], [0.174, 0.500, 0.457], [0.826, 0.000, 0.543]]
}


# 9
{
  "formula": "KLuO3",
  "functional": "PBE",
  "state": "relaxed",
  "magnetic_moment_mub_per_fu": 0.7,
  "final_energy_ev_per_atom": -5.472,
  "sg": "P4mm (99)",
  "lattice_angstrom": [[3.789, 0.000, 0.000], [0.000, 3.789, 0.000], [0.000, 0.000, 5.348]],
  "species": ["Lu", "O", "O", "O", "K"],
  "frac_coords": [[0.000, 0.000, 0.915], [0.000, 0.500, 0.735], [0.500, 0.000, 0.735], [0.500, 0.500, 0.051], [0.500, 0.500, 0.463]]
}


# 10
{
  "formula": "CsDy2Cu3Te5",
  "functional": "PBE",
  "state": "relaxed",
  "magnetic_moment_mub_per_fu": 0.0,
  "final_energy_ev_per_atom": -4.194,
  "sg": "Cmcm (63)",
  "lattice_angstrom": [[-3.448, 6.290, -3.683], [3.428, -3.050, 6.631], [16.501, 5.545, -5.979]],
  "species": ["Cs", "Cs", "Te", "Te", "Te", "Te", "Te", "Te", "Te", "Te", "Te", "Te", "Dy", "Dy", "Dy", "Dy", "Cu", "Cu", "Cu", "Cu", "Cu", "Cu"],
  "frac_coords": [[0.557, 0.443, 0.750], [0.443, 0.557, 0.250], [0.256, 0.744, 0.750], [0.744, 0.256, 0.250], [0.943, 0.057, 0.616], [0.057, 0.943, 0.116], [0.057, 0.943, 0.384], [0.336, 0.664, 0.073], [0.664, 0.336, 0.573], [0.336, 0.664, 0.427], [0.664, 0.336, 0.927], [0.943, 0.057, 0.884], [0.692, 0.308, 0.410], [0.308, 0.692, 0.910], [0.692, 0.308, 0.090], [0.308, 0.692, 0.590], [0.085, 0.915, 0.975], [0.915, 0.085, 0.025], [0.842, 0.158, 0.750], [0.085, 0.915, 0.525], [0.915, 0.085, 0.475], [0.158, 0.842, 0.250]]
}


# 11
{
  "formula": "ZnFeSb",
  "functional": "PBE",
  "state": "relaxed",
  "magnetic_moment_mub_per_fu": 1.5,
  "sg": "P-62m (189)",
  "relative_energy_mev_per_atom": 238.8,
  "lattice_angstrom": [[6.603, 0.000, 0.000], [-3.301, 5.718, 0.000], [0.000, 0.000, 3.944]],
  "species": ["Sb", "Sb", "Sb", "Zn", "Zn", "Zn", "Fe", "Fe", "Fe"],
  "frac_coords": [[0.333, 0.667, 0.000], [0.000, 0.000, 0.500], [0.667, 0.333, 0.000], [0.000, 0.573, 0.500], [0.427, 0.427, 0.500], [0.573, 0.000, 0.500], [0.751, 0.751, 0.000], [0.249, 0.000, 0.000], [0.000, 0.249, 0.000]]
}


# 12
{
  "formula": "HfZn3Pd2",
  "functional": "PBE",
  "state": "relaxed",
  "magnetic_moment_mub_per_fu": 0.0,
  "formation_enthalpy_0k_kj_per_mol_atoms": -41,
  "sg": "P4mm (99)",
  "lattice_angstrom": [[3.185, 0.000, 0.000], [0.000, 3.185, 0.000], [0.000, 0.000, 9.280]],
  "species": ["Zn", "Zn", "Zn", "Pd", "Pd", "Hf"],
  "frac_coords": [[0.500, 0.500, 0.337], [0.000, 0.000, 0.179], [0.500, 0.500, 0.640], [0.000, 0.000, 0.486], [0.500, 0.500, 0.021], [0.000, 0.000, 0.836]]
}


# 13
{
  "formula": "AcTbRe",
  "functional": "PBE",
  "state": "relaxed",
  "magnetic_moment_mub_per_fu": 0.0,
  "formation_enthalpy_0k_kj_per_mol_atoms": 38,
  "sg": "F-43m (216)",
  "lattice_angstrom": [[2.733, -4.037, 1.069], [-1.151, -2.817, 3.956], [-1.920, -4.559, -0.657]],
  "species": ["Re", "Tb", "Ac"],
  "frac_coords": [[0.000, 0.000, 0.000], [0.750, 0.750, 0.750], [0.250, 0.250, 0.250]]
}


# 14
{
  "formula": "YMg2Au",
  "functional": "PBE",
  "state": "relaxed",
  "magnetic_moment_mub_per_fu": 0.0,
  "final_energy_ev_per_atom": -3.655,
  "sg": "F-43m (216)",
  "lattice_angstrom": [[-3.792, -3.106, 0.695], [-3.907, 1.425, 2.686], [-4.344, 0.863, -2.213]],
  "species": ["Mg", "Mg", "Y", "Au"],
  "frac_coords": [[0.000, 0.000, 0.000], [0.250, 0.250, 0.250], [0.750, 0.750, 0.750], [0.500, 0.500, 0.500]]
}


# 15
{
  "formula": "BeCdPO",
  "functional": "PBE",
  "state": "relaxed",
  "sg": "P4/nmm (129)",
  "relative_energy_mev_per_atom": 707.6,
  "lattice_angstrom": [[-1.524, -1.280, 3.217], [-2.603, -1.894, -1.987], [5.003, -6.604, -0.259]],
  "species": ["Cd", "Cd", "Be", "Be", "O", "O", "P", "P"],
  "frac_coords": [[0.000, 0.500, 0.136], [0.500, 0.000, 0.864], [0.500, 0.500, 0.500], [0.000, 0.000, 0.500], [0.500, 0.500, 0.000], [0.000, 0.000, 0.000], [0.000, 0.500, 0.643], [0.500, 0.000, 0.357]]
}


# 16
{
  "formula": "NaLaSiPd",
  "functional": "PBE",
  "state": "relaxed",
  "magnetic_moment_mub_per_fu": 0.0,
  "sg": "F-43m (216)",
  "relative_energy_mev_per_atom": 107.3,
  "lattice_angstrom": [[4.860, -0.205, -1.267], [3.023, -3.377, 2.173], [1.742, -3.893, -2.660]],
  "species": ["La", "Si", "Pd", "Na"],
  "frac_coords": [[0.250, 0.250, 0.250], [0.000, 0.000, 0.000], [0.500, 0.500, 0.500], [0.750, 0.750, 0.750]]
}


# 17
{
  "formula": "Tl3Zn4",
  "functional": "PBE",
  "state": "relaxed",
  "sg": "P2_1/m (11)",
  "relative_energy_mev_per_atom": 0.0,
  "lattice_angstrom": [[5.832, -7.239, 0.331], [7.877, -1.295, 5.672], [-2.535, -1.901, 3.086]],
  "species": ["Zn", "Zn", "Zn", "Zn", "Zn", "Zn", "Zn", "Zn", "Tl", "Tl", "Tl", "Tl", "Tl", "Tl"],
  "frac_coords": [[0.398, 0.206, 0.500], [0.554, 0.032, 0.000], [0.880, 0.987, 0.000], [0.072, 0.251, 0.500], [0.184, 0.332, 0.000], [0.906, 0.703, 0.000], [0.768, 0.906, 0.500], [0.046, 0.535, 0.500], [0.416, 0.448, 0.000], [0.536, 0.790, 0.500], [0.759, 0.229, 0.500], [0.194, 0.009, 0.000], [0.780, 0.472, 0.000], [0.173, 0.766, 0.500]]
}


# 18
{
  "formula": "Rb2Hg2SbAs",
  "functional": "PBE",
  "state": "relaxed",
  "final_energy_ev_per_atom": -2.230,
  "sg": "P-6m2 (187)",
  "lattice_angstrom": [[-2.336, 2.856, 3.028], [1.139, -4.446, 1.311], [9.428, 3.568, 3.908]],
  "species": ["Rb", "Rb", "Hg", "Hg", "Sb", "As"],
  "frac_coords": [[0.333, 0.667, 0.759], [0.333, 0.667, 0.241], [0.667, 0.333, 0.000], [0.000, 0.000, 0.500], [0.667, 0.333, 0.500], [0.000, 0.000, 0.000]]
}


# 19
{
  "formula": "LiNi2Sb",
  "functional": "PBE",
  "state": "relaxed",
  "magnetic_moment_mub_per_fu": 0.0,
  "final_energy_ev_per_atom": -4.281,
  "sg": "P6_3/mmc (194)",
  "lattice_angstrom": [[2.082, -3.607, 0.000], [2.082, 3.607, 0.000], [0.000, 0.000, 7.339]],
  "species": ["Sb", "Sb", "Ni", "Ni", "Ni", "Ni", "Li", "Li"],
  "frac_coords": [[0.000, 0.000, 0.750], [0.000, 0.000, 0.250], [0.667, 0.333, 0.917], [0.667, 0.333, 0.583], [0.333, 0.667, 0.083], [0.333, 0.667, 0.417], [0.333, 0.667, 0.750], [0.667, 0.333, 0.250]]
}


# 20
{
  "formula": "DyInFe",
  "functional": "PBE",
  "state": "relaxed",
  "magnetic_moment_mub_per_fu": 1.3,
  "final_energy_ev_per_atom": -5.061,
  "sg": "F-43m (216)",
  "lattice_angstrom": [[0.000, 3.213, 3.213], [3.213, 0.000, 3.213], [3.213, 3.213, 0.000]],
  "species": ["In", "Fe", "Dy"],
  "frac_coords": [[0.750, 0.750, 0.750], [0.000, 0.000, 0.000], [0.250, 0.250, 0.250]]
}